Here is a relaxed Tm3Ni8Sn crystal from Alexandria. Energies are from PBE.

POSCAR file:
```
Tm3Ni8Sn
1.0
-1.316 2.158 4.311
-3.502 -2.102 2.880
4.163 -4.251 6.295
Ni Sn Tm
8 1 3
Direct
0.437 0.938 0.687
0.938 0.437 0.687
0.438 0.939 0.186
0.939 0.438 0.186
0.938 0.938 0.687
0.688 0.688 0.935
0.188 0.188 0.436
0.438 0.438 0.186
0.872 0.872 0.385
0.996 0.996 0.012
0.503 0.503 0.491
0.376 0.376 0.872
```

Calculated values
E_form ... -0.46 eV per atom
Spin magnetization ... 0.000 μB/cell
DOS at the Fermi energy ... 9.797 states/eV/cell
E_tot ... -69.17 eV/cell